(1)
Compound: ZrSbAu2
Source: Alexandria via LeMat-Bulk
Functional: PBE
Structure: optimized geometry

Structure (POSCAR):
```
ZrSbAu2
1.0
-1.2596 3.0277 -0.5734
-2.4569 -0.6128 2.1611
4.3054 2.8725 5.7094
Au Sb Zr
2 1 1
direct
0.0000 0.0000 0.9844 Au
0.0000 0.0000 0.5156 Au
0.5000 0.5000 0.2500 Sb
0.5000 0.5000 0.7500 Zr
```

Results
- D(E_F) (states/eV/cell) = 1.4
- total magnetization (μB/cell) = 0.6
- formation energy from raw total energies (eV per atom) = -0.297

---

(2)
Compound: Zr2SbAu
Source: Alexandria via LeMat-Bulk
Functional: PBE
Structure: optimized geometry

Structure (POSCAR):
```
Zr2SbAu
1.0
-1.1807 -3.0349 3.7674
-3.1958 -3.7486 -0.7302
1.6345 -4.7038 0.0141
Au Sb Zr
1 1 2
direct
0.5000 0.5000 0.5000 Au
0.7500 0.7500 0.7500 Sb
0.0000 0.0000 0.0000 Zr
0.2500 0.2500 0.2500 Zr
```

Results
- D(E_F) (states/eV/cell) = 4.1
- total magnetization (μB/cell) = 0.9
- formation energy from raw total energies (eV per atom) = 0.041

---

(3)
Compound: Zr2SbAu
Source: Alexandria via LeMat-Bulk
Functional: PBE
Structure: optimized geometry

Structure (POSCAR):
```
Zr2SbAu
1.0
-2.9688 0.6846 -1.1233
0.2068 -3.1185 -0.8815
-3.2545 -2.2581 7.2253
Au Sb Zr
1 1 2
direct
0.5000 0.5000 0.2500 Au
0.5000 0.5000 0.7500 Sb
0.0000 0.0000 0.0071 Zr
0.0000 0.0000 0.4929 Zr
```

Results
- D(E_F) (states/eV/cell) = 3.6
- total magnetization (μB/cell) = 0.0
- formation energy from raw total energies (eV per atom) = -0.426

---

(4)
Compound: Zr2SbAu2
Source: Alexandria via LeMat-Bulk
Functional: PBE
Structure: optimized geometry

Structure (POSCAR):
```
Zr2SbAu2
1.0
-6.6441 0.9314 -3.5965
-3.6772 -0.5974 6.6384
0.2692 3.8255 0.4934
Sb Au Zr
2 4 4
direct
0.0000 0.0000 0.0000 Sb
0.5000 0.5000 0.0000 Sb
0.1350 0.6350 0.5000 Au
0.6350 0.8650 0.5000 Au
0.8650 0.3650 0.5000 Au
0.3650 0.1350 0.5000 Au
0.3412 0.8412 0.0000 Zr
0.8412 0.6588 0.0000 Zr
0.6588 0.1588 0.0000 Zr
0.1588 0.3412 0.0000 Zr
```

Results
- D(E_F) (states/eV/cell) = 9.8
- excess energy over the best structure of this formula in the dataset (meV per atom) = 32
- total magnetization (μB/cell) = 0.0
- formation energy from raw total energies (eV per atom) = -0.368

---

(5)
Compound: Zr2SbAu
Source: Alexandria via LeMat-Bulk
Functional: PBE
Structure: optimized geometry

Structure (POSCAR):
```
Zr2SbAu
1.0
-5.7032 -6.9175 -3.3320
-2.8336 -8.5627 -3.1831
-4.7322 -8.2978 -0.4833
Au Sb Zr
1 1 2
direct
0.2500 0.2500 0.2500 Au
0.7500 0.7500 0.7500 Sb
0.9966 0.9966 0.9966 Zr
0.5034 0.5034 0.5034 Zr
```

Results
- D(E_F) (states/eV/cell) = 5.5
- total magnetization (μB/cell) = 0.0
- formation energy from raw total energies (eV per atom) = -0.248

---

(6)
Compound: ZrSb3Au
Source: Alexandria via LeMat-Bulk
Functional: PBE
Structure: optimized geometry

Structure (POSCAR):
```
ZrSb3Au
1.0
5.3034 0.0000 0.0000
0.0000 5.3034 0.0000
0.0000 0.0000 5.3034
Sb Au Zr
3 1 1
direct
0.0000 0.5000 0.0000 Sb
0.0000 0.0000 0.5000 Sb
0.5000 0.0000 0.0000 Sb
0.0000 0.0000 0.0000 Au
0.5000 0.5000 0.5000 Zr
```

Results
- D(E_F) (states/eV/cell) = 4.9
- excess energy over the best structure of this formula in the dataset (meV per atom) = 213
- total magnetization (μB/cell) = 0.0
- formation energy from raw total energies (eV per atom) = 0.663

---

(7)
Compound: ZrSbAu2
Source: Alexandria via LeMat-Bulk
Functional: PBE
Structure: optimized geometry

Structure (POSCAR):
```
ZrSbAu2
1.0
-0.7310 -1.9390 3.5325
3.3280 0.1082 0.7480
2.4823 5.3767 3.4650
Au Sb Zr
2 1 1
direct
0.0000 0.0173 0.9880 Au
0.0000 0.4827 0.5120 Au
0.5000 0.2500 0.2500 Sb
0.5000 0.7500 0.7500 Zr
```

Results
- D(E_F) (states/eV/cell) = 2.4
- total magnetization (μB/cell) = 0.0
- formation energy from raw total energies (eV per atom) = -0.315

---

(8)
Compound: ZrSbAu3
Source: Alexandria via LeMat-Bulk
Functional: PBE
Structure: optimized geometry

Structure (POSCAR):
```
ZrSbAu3
1.0
-0.9139 -0.3837 -5.1177
-3.2651 -3.9670 0.8805
-3.9595 3.3599 0.4551
Sb Au Zr
1 3 1
direct
0.5000 0.5000 0.5000 Sb
0.0000 0.5000 0.0000 Au
0.0000 0.0000 0.5000 Au
0.5000 0.0000 0.0000 Au
0.0000 0.0000 0.0000 Zr
```

Results
- D(E_F) (states/eV/cell) = 6.4
- excess energy over the best structure of this formula in the dataset (meV per atom) = 80
- total magnetization (μB/cell) = 0.0
- formation energy from raw total energies (eV per atom) = 0.719

---

(9)
Compound: ZrSbAu2
Source: Alexandria via LeMat-Bulk
Functional: PBE
Structure: optimized geometry

Structure (POSCAR):
```
ZrSbAu2
1.0
-4.7906 -0.1514 2.4522
-5.0377 -1.1996 -1.4724
-0.1567 -4.1546 1.1195
Au Sb Zr
2 1 1
direct
0.9895 0.9895 0.9358 Au
0.7220 0.7220 0.8326 Au
0.5291 0.5291 0.4288 Sb
0.2594 0.2594 0.3027 Zr
```

Results
- D(E_F) (states/eV/cell) = 2.1
- total magnetization (μB/cell) = 0.0
- formation energy from raw total energies (eV per atom) = -0.275

---

(10)
Compound: Zr2SbAu
Source: Alexandria via LeMat-Bulk
Functional: PBE
Structure: optimized geometry

Structure (POSCAR):
```
Zr2SbAu
1.0
3.2301 0.0000 0.0000
0.0000 3.2301 0.0000
0.0000 0.0000 8.1539
Au Sb Zr
1 1 2
direct
0.5000 0.5000 0.2500 Au
0.5000 0.5000 0.7500 Sb
0.0000 0.0000 0.0104 Zr
0.0000 0.0000 0.4896 Zr
```

Results
- D(E_F) (states/eV/cell) = 3.3
- total magnetization (μB/cell) = 0.0
- formation energy from raw total energies (eV per atom) = -0.418

---

(11)
Compound: ZrSbAu2
Source: Alexandria via LeMat-Bulk
Functional: PBE
Structure: optimized geometry

Structure (POSCAR):
```
ZrSbAu2
1.0
-5.8727 4.2375 -4.6977
-4.9978 1.5538 -6.8645
-7.4115 1.0540 -4.2980
Au Sb Zr
2 1 1
direct
0.0060 0.0060 0.0060 Au
0.4940 0.4940 0.4940 Au
0.2500 0.2500 0.2500 Sb
0.7500 0.7500 0.7500 Zr
```

Results
- D(E_F) (states/eV/cell) = 2.9
- total magnetization (μB/cell) = 0.0
- formation energy from raw total energies (eV per atom) = -0.164

---

(12)
Compound: Zr2SbAu
Source: Alexandria via LeMat-Bulk
Functional: PBE
Structure: optimized geometry

Structure (POSCAR):
```
Zr2SbAu
1.0
-2.3419 -1.6345 -9.3733
0.9676 -2.1066 -9.5205
-1.0400 -4.6138 -8.5817
Au Sb Zr
1 1 2
direct
0.5054 0.5054 0.5054 Au
0.7504 0.7504 0.7504 Sb
0.9980 0.9980 0.9980 Zr
0.2462 0.2462 0.2462 Zr
```

Results
- D(E_F) (states/eV/cell) = 4.2
- total magnetization (μB/cell) = 0.0
- formation energy from raw total energies (eV per atom) = -0.187

---

(13)
Compound: ZrSbAu2
Source: Alexandria via LeMat-Bulk
Functional: PBE
Structure: optimized geometry

Structure (POSCAR):
```
ZrSbAu2
1.0
-2.3024 -0.8619 -3.1374
0.5483 -3.0209 0.4274
-5.2336 -1.9379 4.3732
Au Sb Zr
2 1 1
direct
0.0000 0.0617 0.0010 Au
0.5000 0.4565 0.2111 Au
0.0000 0.3065 0.5144 Sb
0.5000 0.6753 0.7735 Zr
```

Results
- D(E_F) (states/eV/cell) = 1.4
- total magnetization (μB/cell) = 0.0
- formation energy from raw total energies (eV per atom) = -0.308

---

(14)
Compound: ZrSb3Au
Source: Alexandria via LeMat-Bulk
Functional: PBE
Structure: optimized geometry

Structure (POSCAR):
```
ZrSb3Au
1.0
5.4894 0.0000 0.0000
0.0000 5.4894 0.0000
0.0000 0.0000 5.4894
Sb Au Zr
3 1 1
direct
0.0000 0.5000 0.0000 Sb
0.0000 0.0000 0.5000 Sb
0.5000 0.0000 0.0000 Sb
0.5000 0.5000 0.5000 Au
0.0000 0.0000 0.0000 Zr
```

Results
- D(E_F) (states/eV/cell) = 3.7
- excess energy over the best structure of this formula in the dataset (meV per atom) = 0
- total magnetization (μB/cell) = 0.0
- formation energy from raw total energies (eV per atom) = 0.450

---

Number 1: volume 21.351 A^3/atom. Number 2: volume 21.829 A^3/atom. Number 3: volume 21.417 A^3/atom. Number 4: volume 22.406 A^3/atom. Number 5: volume 22.244 A^3/atom. Number 6: volume 29.834 A^3/atom. Number 7: volume 20.922 A^3/atom. Number 8: volume 28.330 A^3/atom. Number 9: volume 21.428 A^3/atom. Number 10: volume 21.268 A^3/atom. Number 11: volume 22.985 A^3/atom. Number 12: volume 23.290 A^3/atom. Number 13: volume 21.360 A^3/atom. Number 14: volume 33.083 A^3/atom.